1.
# Al2ZnAgC

A PBEsol-optimized structure of Al2ZnAgC (meta-GGA SCAN, Alexandria).

Unit cell a=3.9412 b=3.9412 c=4.4360 alpha=90.00 beta=90.00 gamma=90.00
With the nearest neighbours (Å) after each atom.
Fractional positions:
C: 0.0000 0.0000 0.0000  4 Al 1.97
Zn: 0.0000 0.0000 0.5000  2 C 2.22
Al: 0.0000 0.5000 0.0000  2 C 1.97
Al: 0.5000 0.0000 0.0000  2 C 1.97
Ag: 0.5000 0.5000 0.5000  4 Zn 2.79, 8 Al 2.97

Its density of states at the Fermi level is 0.378 states/eV per atom. The formation energy from the elements is 32 kJ per mole of atoms. The uncorrected energy comes out at -13.77 eV per atom.



2.
# CaAl3Ag

A PBEsol-optimized structure of CaAl3Ag (meta-GGA SCAN, Alexandria).

Unit cell a=4.8836 b=4.8836 c=4.8836 alpha=90.00 beta=90.00 gamma=90.00
With the nearest neighbours (Å) after each atom.
Fractional positions:
Ca: 0.5000 0.5000 0.5000  12 Al 3.45
Al: 0.0000 0.5000 0.0000  2 Ag 2.44
Al: 0.0000 0.0000 0.5000  2 Ag 2.44
Al: 0.5000 0.0000 0.0000  2 Ag 2.44
Ag: 0.0000 0.0000 0.0000  6 Al 2.44

Its density of states at the Fermi level is 0.631 states/eV per atom. The formation energy from the elements is 17 kJ per mole of atoms. The uncorrected energy comes out at -12.69 eV per atom.



3.
# Ca3AlAg

A PBEsol-optimized structure of Ca3AlAg (meta-GGA SCAN, Alexandria).

Unit cell a=5.7450 b=5.7450 c=5.7450 alpha=90.00 beta=90.00 gamma=90.00
With the nearest neighbours (Å) after each atom.
Fractional positions:
Ca: 0.0000 0.5000 0.0000  2 Al 2.87
Ca: 0.0000 0.0000 0.5000  2 Al 2.87
Ca: 0.5000 0.0000 0.0000  2 Al 2.87
Al: 0.0000 0.0000 0.0000  6 Ca 2.87
Ag: 0.5000 0.5000 0.5000  12 Ca 4.06

Its density of states at the Fermi level is 0.328 states/eV per atom. The formation energy from the elements is 25 kJ per mole of atoms. The uncorrected energy comes out at -13.36 eV per atom.



Question: Which of these has the lowest formation energy from the elements?
Answer: CaAl3Ag



Question: Number 3 is which compound?
Answer: Ca3AlAg